Entry from Alexandria via LeMat-Bulk: an optimized crystal structure of As3OsBr (GGA-PBE).

## Properties
The value obtained for the density is 7.15 g/cm3. For the density of states at the Fermi level, the calculation gives 1.188 states/eV per atom. For the total energy, the calculation gives -0.176 Ha/atom. Its offset from the most stable computed form is 0.0000 eV per atom. The raw formation energy is 0.576 eV per atom.

abc: 4.8617 4.8617 4.8617
angles: 90.00 90.00 90.00
Atoms (fractional coordinates):
As 0.0000 0.0000 0.5000
As 0.0000 0.5000 0.0000
As 0.5000 0.0000 0.0000
Os 0.0000 0.0000 0.0000
Br 0.5000 0.5000 0.5000